The following is a PBE-GGA calculation of an optimized crystal structure of K2NiPb, from Alexandria via LeMat-Bulk.

abc: 9.143 9.143 9.143
angles: 94.19 94.19 148.63
Fractional coordinates of all 8 atoms:
K1 0.375 0.072 0.197
K2 0.822 0.625 0.697
K3 0.875 0.178 0.803
K4 0.928 0.125 0.303
Ni1 0.000 0.000 0.000
Ni2 0.750 0.250 0.500
Pb1 0.250 0.750 0.500
Pb2 0.500 0.500 0.000

Properties
The energy of formation is 0.2000 eV per atom. The crystal system is tetragonal. The value obtained for the total energy is -2.721 eV/atom. As for the total moment: 0.000 μB/atom.